# 1
Material: CsTlCr2Br8
Method: DFT, PBE
State: relaxed

Unit cell a=11.141 b=11.141 c=11.141 alpha=38.12 beta=38.12 gamma=38.12
Sites, in units of the cell vectors:
Cs 0.000 0.000 0.000
Tl 0.500 0.500 0.500
Cr 0.252 0.252 0.252
Cr 0.748 0.748 0.748
Br 0.063 0.809 0.435
Br 0.191 0.565 0.937
Br 0.327 0.327 0.327
Br 0.435 0.063 0.809
Br 0.565 0.937 0.191
Br 0.673 0.673 0.673
Br 0.809 0.435 0.063
Br 0.937 0.191 0.565

Results
For the raw formation energy, the calculation gives -0.826 eV per atom.



# 2
Material: Li6Tl3In2
Method: DFT, PBE
State: relaxed

Unit cell a=15.795 b=15.795 c=15.795 alpha=165.48 beta=165.48 gamma=20.59
Sites, in units of the cell vectors:
Li 0.119 0.619 0.500
Li 0.219 0.219 0.000
Li 0.381 0.881 0.500
Li 0.619 0.119 0.500
Li 0.781 0.781 0.000
Li 0.881 0.381 0.500
Tl 0.312 0.312 0.000
Tl 0.500 0.500 0.000
Tl 0.688 0.688 0.000
In 0.051 0.051 0.000
In 0.949 0.949 0.000



# 3
Material: YCuRe2
Method: DFT, PBE
State: relaxed

Unit cell a=2.742 b=2.742 c=8.805 alpha=90.00 beta=90.00 gamma=90.00
Sites, in units of the cell vectors:
Y 0.000 0.000 0.000
Cu 0.000 0.000 0.500
Re 0.500 0.500 0.285
Re 0.500 0.500 0.715



# 4
Material: LaScSn2
Method: DFT, PBE
State: relaxed

Unit cell a=10.529 b=10.529 c=10.529 alpha=151.57 beta=151.57 gamma=40.65
Sites, in units of the cell vectors:
La 0.000 0.000 0.000
La 0.750 0.250 0.500
Sc 0.250 0.750 0.500
Sc 0.500 0.500 0.000
Sn 0.222 0.625 0.097
Sn 0.375 0.472 0.597
Sn 0.528 0.125 0.903
Sn 0.875 0.778 0.403



# 5
Material: CaPuPdO6
Method: DFT, PBE
State: relaxed

Unit cell a=5.324 b=5.324 c=10.358 alpha=90.00 beta=90.00 gamma=120.00
Sites, in units of the cell vectors:
Ca 0.000 0.000 0.000
Ca 0.000 0.000 0.500
Pu 0.333 0.667 0.250
Pu 0.667 0.333 0.750
Pd 0.333 0.667 0.750
Pd 0.667 0.333 0.250
O 0.000 0.355 0.141
O 0.000 0.355 0.641
O 0.000 0.645 0.359
O 0.000 0.645 0.859
O 0.355 0.000 0.141
O 0.355 0.000 0.641
O 0.355 0.355 0.359
O 0.355 0.355 0.859
O 0.645 0.000 0.359
O 0.645 0.000 0.859
O 0.645 0.645 0.141
O 0.645 0.645 0.641

Results
For the raw formation energy, the calculation gives -1.953 eV per atom.



The following final energy values (in eV per atom) correspond, in order, to the records above: -3.81; -2.28; -8.30; -4.98; -7.65.